Record 1
A geometry-optimized Dy3Cd2C structure, computed with PBE.

POSCAR file:
```
Dy3Cd2C
1.0
2.5213 -7.8845 0.0000
2.5213 7.8845 0.0000
0.0000 0.0000 3.5007
Dy Cd C
3 2 1
direct
0.0000 0.0000 0.0000
0.3898 0.6102 0.5000
0.6102 0.3898 0.5000
0.2013 0.7987 0.0000
0.7987 0.2013 0.0000
0.5000 0.5000 0.0000
```

Results
space-group type: No. 65
DFT total energy: -4.46 eV per atom
formation energy: -0.321 eV per atom
DOS at the Fermi energy: 5.43 states/eV per cell

---

Record 2
A geometry-optimized DyEr2CdC structure, computed with PBE.

POSCAR file:
```
DyEr2CdC
1.0
4.8621 0.0000 0.0000
0.0000 4.8621 0.0000
0.0000 0.0000 4.9621
Dy Er Cd C
1 2 1 1
direct
0.0000 0.0000 0.0000
0.0000 0.5000 0.5000
0.5000 0.0000 0.5000
0.5000 0.5000 0.0000
0.0000 0.0000 0.5000
```

Results
space-group type: No. 123
DFT total energy: -5.10 eV per atom
formation energy: -0.325 eV per atom
DOS at the Fermi energy: 6.83 states/eV per cell

---

Record 3
A geometry-optimized Dy2ErCdC structure, computed with PBE.

POSCAR file:
```
Dy2ErCdC
1.0
4.9478 0.0000 0.0000
0.0000 4.9478 0.0000
0.0000 0.0000 4.8430
Dy Er Cd C
2 1 1 1
direct
0.0000 0.5000 0.0000
0.5000 0.0000 0.0000
0.0000 0.0000 0.5000
0.5000 0.5000 0.5000
0.0000 0.0000 0.0000
```

Results
space-group type: No. 123
DFT total energy: -5.09 eV per atom
formation energy: -0.313 eV per atom
DOS at the Fermi energy: 7.09 states/eV per cell

---

Record 4
A geometry-optimized DyCdFeC structure, computed with PBE.

POSCAR file:
```
DyCdFeC
1.0
3.6528 0.0000 0.0000
0.0000 3.6528 0.0000
0.0000 0.0000 10.1151
Dy Cd Fe C
2 2 2 2
direct
0.2500 0.2500 0.2104
0.7500 0.7500 0.7896
0.2500 0.7500 0.5000
0.7500 0.2500 0.5000
0.2500 0.7500 0.0000
0.7500 0.2500 0.0000
0.2500 0.2500 0.9154
0.7500 0.7500 0.0846
```

Results
space-group type: No. 129
DFT total energy: -5.79 eV per atom
formation energy: 0.011 eV per atom
DOS at the Fermi energy: 5.82 states/eV per cell

---

Record 5
A geometry-optimized Dy2HoCdC structure, computed with PBE.

POSCAR file:
```
Dy2HoCdC
1.0
4.9399 0.0000 0.0000
0.0000 4.9399 0.0000
0.0000 0.0000 4.8838
Dy Ho Cd C
2 1 1 1
direct
0.0000 0.5000 0.0000
0.5000 0.0000 0.0000
0.0000 0.0000 0.5000
0.5000 0.5000 0.5000
0.0000 0.0000 0.0000
```

Results
space-group type: No. 123
DFT total energy: -5.09 eV per atom
formation energy: -0.307 eV per atom
DOS at the Fermi energy: 6.99 states/eV per cell

---

Record 6
A geometry-optimized La2DyCdC structure, computed with PBE.

POSCAR file:
```
La2DyCdC
1.0
5.2787 0.0000 0.0000
0.0000 5.2787 0.0000
0.0000 0.0000 4.8948
La Dy Cd C
2 1 1 1
direct
0.0000 0.5000 0.0000
0.5000 0.0000 0.0000
0.0000 0.0000 0.5000
0.5000 0.5000 0.5000
0.0000 0.0000 0.0000
```

Results
space-group type: No. 123
DFT total energy: -5.12 eV per atom
formation energy: -0.204 eV per atom
DOS at the Fermi energy: 4.71 states/eV per cell

---

| no. | size of the total moment (μB per cell) |
| --- | --- |
| 1 | 0.000 |
| 2 | 0.377 |
| 3 | 0.081 |
| 4 | 0.000 |
| 5 | 0.341 |
| 6 | 0.000 |